# 1
The following is a DFT calculation (PBE-GGA) of a relaxed structure of CsOsS2.

a = 4.869 Å, b = 4.869 Å, c = 4.869 Å
α = 60.00°, β = 60.00°, γ = 60.00°
Sites, in units of the cell vectors:
Os1 0.500 0.500 0.500
Cs1 0.000 0.000 0.000
S1 0.250 0.250 0.250
S2 0.750 0.750 0.750

Output
Offset from the most stable computed form, meV per atom: 1198
Space-group type: Fm-3m (225)
Energy relative to the elements, uncorrected, eV/atom: 1.10
Total magnetization, μB per cell: 0.00



# 2
The following is a DFT calculation (PBE-GGA) of a relaxed structure of CsOs4S2.

a = 4.903 Å, b = 4.903 Å, c = 7.397 Å
α = 70.64°, β = 70.64°, γ = 90.00°
Sites, in units of the cell vectors:
Os1 0.500 0.000 0.000
Os2 0.760 0.760 0.479
Os3 0.000 0.500 0.000
Os4 0.240 0.240 0.521
S1 0.400 0.400 0.199
S2 0.600 0.600 0.801
Cs1 0.000 0.000 0.000

Output
Space-group type: I4/mmm (139)
Energy relative to the elements, uncorrected, eV/atom: 2.92
Total magnetization, μB per cell: 3.27



# 3
The following is a DFT calculation (PBE-GGA) of a relaxed structure of CsSbOs3.

a = 4.985 Å, b = 4.985 Å, c = 4.985 Å
α = 90.00°, β = 90.00°, γ = 90.00°
Sites, in units of the cell vectors:
Cs1 0.000 0.000 0.000
Os1 0.000 0.000 0.500
Os2 0.500 0.000 0.000
Os3 0.000 0.500 0.000
Sb1 0.500 0.500 0.500

Output
Space-group type: Pm-3m (221)
Energy relative to the elements, uncorrected, eV/atom: 3.77
Total magnetization, μB per cell: 3.50



| no. | mass density (g/cm³) |
| --- | --- |
| 1 | 7.88 |
| 2 | 10.13 |
| 3 | 11.07 |